# TmGa2SiRu2 GGA-PBE relaxed
# **ΔE_f (raw)**: -340.1 meV/atom
# **Magnetization**: 0.0 μB/f.u.
# **Electronic total energy**: -36.540 eV per cell
data_TmGa2SiRu2
_chemical_formula_sum 'Tm1 Ga2 Si1 Ru2'
_cell_length_a 4.423
_cell_length_b 4.423
_cell_length_c 5.546
_cell_angle_alpha 90.00
_cell_angle_beta 90.00
_cell_angle_gamma 90.00
_symmetry_space_group_name_H-M 'P 1'
_symmetry_Int_Tables_number 1
_symmetry_space_group_name_Hall 'P 1'
loop_
_atom_site_label
_atom_site_fract_x
_atom_site_fract_y
_atom_site_fract_z
_atom_site_occupancy
Tm1 0.000 0.000 0.000 1
Ga1 0.500 0.500 0.227 1
Ga2 0.500 0.500 0.773 1
Si1 0.000 0.000 0.500 1
Ru1 0.000 0.500 0.500 1
Ru2 0.500 0.000 0.500 1